[1]
Compound: RePbSe2
Source: Alexandria via LeMat-Bulk
Functional: PBE
Structure: relaxed

Unit cell a=6.3297 b=8.2976 c=2.7985 alpha=110.11 beta=63.49 gamma=137.01
Element x y z (fractional)
1 Se 0.0000 0.5000 0.5000
2 Se 0.0000 0.0000 0.0000
3 Re 0.5000 0.0000 0.5000
4 Pb 0.5000 0.5000 0.0000

[2]
Compound: Re2PbSe
Source: Alexandria via LeMat-Bulk
Functional: PBE
Structure: relaxed

Unit cell a=4.5353 b=4.5353 c=5.8457 alpha=77.58 beta=77.58 gamma=39.46
Element x y z (fractional)
1 Re 0.0040 0.0040 0.9358
2 Re 0.4960 0.4960 0.5642
3 Se 0.7500 0.7500 0.7500
4 Pb 0.2500 0.2500 0.2500

ΔE to the lowest computed polymorph = 0.521 eV per atom

[3]
Compound: RePb2Se
Source: Alexandria via LeMat-Bulk
Functional: PBE
Structure: relaxed

Unit cell a=3.3230 b=3.3230 c=10.5151 alpha=90.00 beta=90.00 gamma=121.78
Element x y z (fractional)
1 Se 0.5000 0.5000 0.6946
2 Re 0.0000 0.0000 0.5257
3 Pb 0.5000 0.5000 0.2885
4 Pb 0.0000 0.0000 0.9911

[4]
Compound: RePbSe
Source: Alexandria via LeMat-Bulk
Functional: PBE
Structure: relaxed

Unit cell a=4.4962 b=4.4962 c=3.4668 alpha=90.00 beta=90.00 gamma=120.00
Element x y z (fractional)
1 Re 0.6667 0.3333 0.5001
2 Se 0.3333 0.6667 0.5000
3 Pb 0.0000 0.0000 0.9999

ΔE to the lowest computed polymorph = 0.490 eV per atom

[5]
Compound: RePbSe2
Source: Alexandria via LeMat-Bulk
Functional: PBE
Structure: relaxed

Unit cell a=3.3345 b=3.3345 c=9.6743 alpha=90.00 beta=90.00 gamma=122.40
Element x y z (fractional)
1 Se 0.0000 0.0000 0.9473
2 Se 0.0000 0.0000 0.5527
3 Re 0.5000 0.5000 0.7500
4 Pb 0.5000 0.5000 0.2500

[6]
Compound: Y2RePbSe
Source: Alexandria via LeMat-Bulk
Functional: PBE
Structure: relaxed

Unit cell a=5.2451 b=5.4690 c=5.2451 alpha=90.00 beta=90.00 gamma=90.00
Last column: magnetic moment on the atom in μB.
Element x y z (fractional)
1 Se 0.0000 0.0000 0.0000  0.00
2 Re 0.5000 0.5000 0.5000  2.36
3 Y 0.0000 0.0000 0.5000  -0.22
4 Y 0.5000 0.0000 0.0000  -0.16
5 Pb 0.0000 0.5000 0.0000  -0.04

[7]
Compound: TiRe2SiPb
Source: Alexandria via LeMat-Bulk
Functional: PBE
Structure: relaxed

Unit cell a=4.9855 b=4.8670 c=4.9855 alpha=90.00 beta=90.00 gamma=90.00
Element x y z (fractional)
1 Pb 0.0000 0.0000 0.0000
2 Re 0.5000 0.0000 0.0000
3 Re 0.0000 0.0000 0.5000
4 Ti 0.5000 0.5000 0.5000
5 Si 0.0000 0.5000 0.0000

[8]
Compound: ReSn2Pb
Source: Alexandria via LeMat-Bulk
Functional: PBE
Structure: relaxed

Unit cell a=5.2612 b=5.2612 c=9.3003 alpha=73.57 beta=73.57 gamma=90.00
Element x y z (fractional)
1 Re 0.2500 0.7500 0.5000
2 Re 0.5000 0.5000 0.0000
3 Pb 0.0000 0.0000 0.0000
4 Pb 0.7500 0.2500 0.5000
5 Sn 0.3750 0.4682 0.7500
6 Sn 0.2182 0.6250 0.2500
7 Sn 0.5318 0.1250 0.2500
8 Sn 0.8750 0.7818 0.7500

formation energy = 0.88 eV/atom

[9]
Compound: ReSnPb2
Source: Alexandria via LeMat-Bulk
Functional: PBE
Structure: relaxed

Unit cell a=4.2860 b=4.2860 c=11.2559 alpha=79.02 beta=79.02 gamma=90.00
Last column: magnetic moment on the atom in μB.
Element x y z (fractional)
1 Re 0.7500 0.2500 0.5000  1.20
2 Re 0.0000 0.0000 0.0000  1.21
3 Pb 0.6304 0.1250 0.2500  -0.03
4 Pb 0.3750 0.3696 0.7500  -0.02
5 Pb 0.8750 0.8804 0.7500  -0.03
6 Pb 0.1196 0.6250 0.2500  -0.03
7 Sn 0.5000 0.5000 0.0000  -0.02
8 Sn 0.2500 0.7500 0.5000  -0.02

formation energy = 0.98 eV/atom

[10]
Compound: Re2SnPb
Source: Alexandria via LeMat-Bulk
Functional: PBE
Structure: relaxed

Unit cell a=7.7352 b=7.7352 c=6.1430 alpha=50.98 beta=50.98 gamma=90.00
Last column: magnetic moment on the atom in μB.
Element x y z (fractional)
1 Pb 0.0000 0.0000 0.0000  0.00
2 Pb 0.7500 0.2500 0.5000  0.00
3 Sn 0.2500 0.7500 0.5000  -0.01
4 Sn 0.5000 0.5000 0.0000  -0.01
5 Re 0.1390 0.6250 0.2500  0.50
6 Re 0.3750 0.3890 0.7500  0.48
7 Re 0.6110 0.1250 0.2500  0.49
8 Re 0.8750 0.8610 0.7500  0.50

formation energy = 1.50 eV/atom
ΔE to the lowest computed polymorph = 0.521 eV per atom

[11]
Compound: Re2SnPb
Source: Alexandria via LeMat-Bulk
Functional: PBE
Structure: relaxed

Unit cell a=4.6955 b=4.6955 c=4.6955 alpha=60.00 beta=60.00 gamma=60.00
Element x y z (fractional)
1 Re 0.7500 0.7500 0.7500
2 Re 0.2500 0.2500 0.2500
3 Pb 0.5000 0.5000 0.5000
4 Sn 0.0000 0.0000 0.0000

formation energy = 0.98 eV/atom
ΔE to the lowest computed polymorph = 0.000 eV per atom

[12]
Compound: Re3SnPb
Source: Alexandria via LeMat-Bulk
Functional: PBE
Structure: relaxed

Unit cell a=4.9359 b=4.9359 c=4.9359 alpha=90.00 beta=90.00 gamma=90.00
Last column: magnetic moment on the atom in μB.
Element x y z (fractional)
1 Re 0.5000 0.0000 0.0000  1.00
2 Re 0.0000 0.0000 0.5000  1.31
3 Re 0.0000 0.5000 0.0000  1.06
4 Sn 0.0000 0.0000 0.0000  0.00
5 Pb 0.5000 0.5000 0.5000  0.03

formation energy = 2.57 eV/atom
ΔE to the lowest computed polymorph = 0.000 eV per atom

Number 1: final energy -19.9 eV/cell. Number 2: final energy -28.7 eV/cell. Number 3: final energy -21.1 eV/cell. Number 4: final energy -17.5 eV/cell. Number 5: final energy -21.3 eV/cell. Number 6: final energy -29.3 eV/cell. Number 7: final energy -28.4 eV/cell. Number 8: final energy -41.3 eV/cell. Number 9: final energy -39.9 eV/cell. Number 10: final energy -53.2 eV/cell. Number 11: final energy -28.7 eV/cell. Number 12: final energy -32.2 eV/cell.